KTl6In: relaxed, PBE.

- Theoretical density: 8.76 g/cm3
- Relative energy among the computed polymorphs: 0.195 eV/f.u.
- DFT total energy: -17.97 eV per cell
- ΔH_f (0 K): 0.0080 eV per atom

Lattice parameters (Å, degrees): 7.0352 7.0352 7.0352 110.11 110.11 110.11
Atoms (fractional coordinates):
K (0.0000, 0.0000, 0.0000)
Tl (0.2544, 0.2544, 0.7306)
Tl (0.2544, 0.7306, 0.2544)
Tl (0.2694, 0.7456, 0.7456)
Tl (0.7306, 0.2544, 0.2544)
Tl (0.7456, 0.2694, 0.7456)
Tl (0.7456, 0.7456, 0.2694)
In (0.5000, 0.5000, 0.5000)